(1)
Ta2TePb PBE optimized geometry; SG = C2/m; E above lowest polymorph = 611 meV per atom; formation energy from raw total energies = 15.793 kcal/mol of atoms
1.0
-5.017 1.264 2.058
1.032 -5.461 0.343
0.502 -0.347 3.130
Ta Te Pb
2 1 1
direct
0.000 0.000 0.000
0.500 0.500 0.000
0.500 0.000 0.500
0.000 0.500 0.500

***

(2)
Ta3TePb PBE optimized geometry; SG = Pm-3m; E above lowest polymorph = 618 meV per atom; formation energy from raw total energies = 53.061 kcal/mol of atoms
1.0
5.160 0.000 0.000
0.000 5.160 0.000
0.000 0.000 5.160
Ta Pb Te
3 1 1
direct
0.500 0.000 0.000
0.000 0.500 0.000
0.000 0.000 0.500
0.000 0.000 0.000
0.500 0.500 0.500

***

(3)
TaTe2Pb PBE optimized geometry; SG = Immm; formation energy from raw total energies = 2.729 kcal/mol of atoms
1.0
7.396 0.007 -0.003
4.585 5.804 0.003
-5.364 -4.197 2.883
Pb Te Ta
1 2 1
direct
0.750 0.250 0.500
0.084 0.084 0.000
0.416 0.416 0.000
0.250 0.750 0.500

***

(4)
TaTe2Pb PBE optimized geometry; SG = R-3m; formation energy from raw total energies = 12.412 kcal/mol of atoms
1.0
9.949 -1.814 8.310
10.210 -4.591 6.783
11.647 -2.000 5.628
Ta Te Pb
1 2 1
direct
0.000 0.000 0.000
0.073 0.073 0.073
0.927 0.927 0.927
0.500 0.500 0.500

***

(5)
TaTl3Te6Pb2 PBE optimized geometry; SG = C2/m; formation energy from raw total energies = -7.633 kcal/mol of atoms
1.0
-4.951 -2.858 5.320
5.944 -4.402 -2.503
4.188 5.239 4.798
Te Pb Tl Ta
6 2 3 1
direct
0.930 0.634 0.790
0.366 0.070 0.210
0.222 0.222 0.785
0.778 0.778 0.215
0.634 0.930 0.790
0.070 0.366 0.210
0.666 0.334 0.000
0.334 0.666 0.000
0.829 0.171 0.500
0.171 0.829 0.500
0.500 0.500 0.500
0.000 0.000 0.000

***

(6)
TaTl3Te8Pb3 PBE optimized geometry; SG = R-3m; formation energy from raw total energies = -6.508 kcal/mol of atoms
1.0
9.093 0.000 0.000
-4.547 7.875 -0.029
0.000 -5.224 7.674
Tl Te Pb Ta
3 8 3 1
direct
0.000 0.000 0.000
0.500 0.500 0.000
0.000 0.500 0.000
0.783 0.004 0.287
0.747 0.494 0.741
0.217 0.434 0.713
0.783 0.566 0.287
0.779 0.996 0.713
0.253 0.506 0.259
0.217 0.996 0.713
0.221 0.004 0.287
0.000 0.500 0.500
0.500 0.000 0.500
0.500 0.500 0.500
0.000 0.000 0.500